# 1
Compound: VCu2Au3
Source: Alexandria via LeMat-Bulk
Functional: PBE
Structure: optimized geometry Values from VASP.

Quantum ESPRESSO input file:
```
&SYSTEM
  ibrav = 0, nat = 6, ntyp = 3
/
ATOMIC_SPECIES
Cu 63.55 Cu.upf
Au 196.97 Au.upf
V 50.94 V.upf
ATOMIC_POSITIONS crystal
Cu 0.5000 0.5000 0.8379
Cu 0.5000 0.5000 0.1621
Au 0.0000 0.0000 0.0000
Au 0.0000 0.0000 0.6732
Au 0.0000 0.0000 0.3268
V 0.5000 0.5000 0.5000
CELL_PARAMETERS angstrom
3.1753 0.0000 0.0000
0.0000 3.1752 0.0000
0.0000 0.0000 9.2639
```

# 2
Compound: La8Sm4Th
Source: Alexandria via LeMat-Bulk
Functional: PBE
Structure: optimized geometry Values from VASP.

Quantum ESPRESSO input file:
```
&SYSTEM
  ibrav = 0, nat = 13, ntyp = 3
/
ATOMIC_SPECIES
Th 232.04 Th.upf
La 138.91 La.upf
Sm 150.36 Sm.upf
ATOMIC_POSITIONS crystal
Th 0.0000 0.5000 0.5000
La 0.8447 0.6722 0.0172
La 0.1553 0.8275 0.9828
La 0.1553 0.3278 0.9828
La 0.8447 0.1725 0.0172
La 0.5232 0.7616 0.2848
La 0.4768 0.2384 0.7152
La 0.6550 0.8275 0.9828
La 0.3450 0.1725 0.0172
Sm 0.0000 0.0000 0.0000
Sm 0.0000 0.5000 0.0000
Sm 0.5000 0.0000 0.0000
Sm 0.5000 0.5000 0.0000
CELL_PARAMETERS angstrom
10.4793 -0.0008 -5.6539
-6.7644 9.7992 -0.0005
-2.9344 -2.0252 7.1000
```

# 3
Compound: Dy4AlAu3
Source: Alexandria via LeMat-Bulk
Functional: PBE
Structure: optimized geometry Values from VASP.

Quantum ESPRESSO input file:
```
&SYSTEM
  ibrav = 0, nat = 8, ntyp = 3
/
ATOMIC_SPECIES
Dy 162.50 Dy.upf
Au 196.97 Au.upf
Al 26.98 Al.upf
ATOMIC_POSITIONS crystal
Dy 0.0000 0.0000 0.1481
Dy 0.0000 0.5000 0.8520
Dy 0.5000 0.0000 0.6403
Dy 0.5000 0.5000 0.3608
Au 0.0000 0.5000 0.5862
Au 0.0000 0.0000 0.4155
Au 0.5000 0.0000 0.9214
Al 0.5000 0.5000 0.0758
CELL_PARAMETERS angstrom
3.7134 0.0000 0.0000
0.0000 4.6470 0.0000
0.0000 0.0000 11.1906
```

# 4
! CoTeW2 PBE optimized geometry; values from VASP
! Energy relative to the elements, uncorrected, meV per atom: 599
&SYSTEM
  ibrav = 0, nat = 4, ntyp = 3
/
ATOMIC_SPECIES
W 183.84 W.upf
Te 127.60 Te.upf
Co 58.93 Co.upf
ATOMIC_POSITIONS crystal
W 0.0073 0.0073 0.0000
W 0.7396 0.2396 0.5000
Te 0.2677 0.7677 0.5000
Co 0.4854 0.4854 0.0000
CELL_PARAMETERS angstrom
-2.5241 2.6337 3.5203
2.2447 -0.1034 4.5443
0.8114 1.3315 -4.8238

Number 1: final energy -4.518 eV per atom. Number 2: final energy -4.679 eV per atom. Number 3: final energy -4.736 eV per atom. Number 4: final energy -8.440 eV per atom.